The following is a DFT calculation (PBE+U) of MoPbW2O after structural relaxation.

The structure in CIF format:
```
data_MoPbW2O
_cell_length_a 5.783
_cell_length_b 5.783
_cell_length_c 4.357
_cell_angle_alpha 90.00
_cell_angle_beta 90.00
_cell_angle_gamma 90.00
_space_group_name_H-M_alt 'P 1'
_space_group_IT_number 1
_space_group_name_Hall 'P 1'
loop_
_atom_site_label
_atom_site_fract_x
_atom_site_fract_y
_atom_site_fract_z
Mo1 0.000 0.000 0.000
Pb1 0.500 0.500 0.500
W1 0.000 0.500 0.500
W2 0.500 0.000 0.500
O1 0.500 0.500 0.000
```

## Properties
VASP energy = -3.940 eV per atom
Symmetry = P4/mmm (123)
Crystal system = tetragonal
N(E_F) = 0.5842 states/eV per atom
V = 29.15 Å³ per atom
Total moment = 13.88 μB per formula unit